# meta-GGA SCAN MnZnPO5, PBEsol geometry
# E	-11.361	eV per atom
# E_form (uncorrected)	-2195	meV per atom
data_MnZnPO5
_chemical_formula_sum 'Mn4 Zn4 P4 O20'
_cell_length_a 7.103
_cell_length_b 8.385
_cell_length_c 6.788
_cell_angle_alpha 90.00
_cell_angle_beta 117.67
_cell_angle_gamma 90.00
_space_group_name_H-M_alt 'C 1 2/c 1'
_space_group_IT_number 15
loop_
_space_group_symop_operation_xyz
'x,y,z'
'-x,-y,-z'
'-x,y,-z+1/2'
'x,-y,z+1/2'
'x+1/2,y+1/2,z'
'-x+1/2,-y+1/2,-z'
'-x+1/2,y+1/2,-z+1/2'
'x+1/2,-y+1/2,z+1/2'
loop_
_atom_site_label
_atom_site_type_symbol
_atom_site_fract_x
_atom_site_fract_y
_atom_site_fract_z
Mn1 Mn 0.000 0.000 0.000
Zn1 Zn 0.000 0.310 0.250
P1 P 0.000 0.367 0.750
O1 O 0.000 0.084 0.250
O2 O 0.017 0.263 0.573
O3 O 0.187 0.491 0.855

***

# meta-GGA SCAN TaAgSb, PBEsol geometry
# E	-44.729	eV per atom
# E_form (uncorrected)	342	meV per atom
data_TaAgSb
_chemical_formula_sum 'Ta1 Ag1 Sb1'
_cell_length_a 3.0760
_cell_length_b 3.0760
_cell_length_c 7.1687
_cell_angle_alpha 90.00
_cell_angle_beta 90.00
_cell_angle_gamma 120.00
_space_group_name_H-M_alt 'P 3 m 1'
_space_group_IT_number 156
loop_
_space_group_symop_operation_xyz
'x,y,z'
'-y,x-y,z'
'-x+y,-x,z'
'-y,-x,z'
'-x+y,y,z'
'x,x-y,z'
loop_
_atom_site_label
_atom_site_type_symbol
_atom_site_fract_x
_atom_site_fract_y
_atom_site_fract_z
Ta1 Ta 0.0000 0.0000 0.0000
Ag1 Ag 0.3333 0.6667 0.6836
Sb1 Sb 0.6667 0.3333 0.3252

***

# meta-GGA SCAN Sc2OsF, PBEsol geometry
# E	-27.270	eV per atom
# E_form (uncorrected)	-1296	meV per atom
data_Sc2OsF
_chemical_formula_sum 'Sc6 Os3 F3'
_cell_length_a 3.2353
_cell_length_b 3.2353
_cell_length_c 23.5362
_cell_angle_alpha 90.00
_cell_angle_beta 90.00
_cell_angle_gamma 120.00
_space_group_name_H-M_alt 'R -3 m'
_space_group_IT_number 166
_space_group_name_Hall '-R 3 2"'
loop_
_atom_site_label
_atom_site_type_symbol
_atom_site_fract_x
_atom_site_fract_y
_atom_site_fract_z
Sc1 Sc 0.0000 0.0000 0.0867
Os1 Os 0.0000 0.0000 0.5000
F1 F 0.0000 0.0000 0.0000

***

# meta-GGA SCAN Zr5Fe, PBEsol geometry
# E	-28.603	eV per atom
data_Zr5Fe
_chemical_formula_sum 'Zr10 Fe2'
_cell_length_a 10.667
_cell_length_b 3.249
_cell_length_c 7.291
_cell_angle_alpha 90.00
_cell_angle_beta 109.15
_cell_angle_gamma 90.00
_space_group_name_H-M_alt 'C 1 2/m 1'
_space_group_IT_number 12
loop_
_space_group_symop_operation_xyz
'x,y,z'
'-x,-y,-z'
'-x,y,-z'
'x,-y,z'
'x+1/2,y+1/2,z'
'-x+1/2,-y+1/2,-z'
'-x+1/2,y+1/2,-z'
'x+1/2,-y+1/2,z'
loop_
_atom_site_label
_atom_site_type_symbol
_atom_site_fract_x
_atom_site_fract_y
_atom_site_fract_z
Zr1 Zr 0.000 0.000 0.000
Zr2 Zr 0.134 0.500 0.366
Zr3 Zr 0.174 0.500 0.812
Fe1 Fe 0.000 0.000 0.500

***

# meta-GGA SCAN TiTc2Mo, PBEsol geometry
# E	-30.694	eV per atom
data_TiTc2Mo
_chemical_formula_sum 'Ti4 Tc8 Mo4'
_cell_length_a 6.148
_cell_length_b 6.148
_cell_length_c 6.148
_cell_angle_alpha 90.00
_cell_angle_beta 90.00
_cell_angle_gamma 90.00
_space_group_name_H-M_alt 'F m -3 m'
_space_group_IT_number 225
_space_group_name_Hall '-F 4 2 3'
loop_
_atom_site_label
_atom_site_type_symbol
_atom_site_fract_x
_atom_site_fract_y
_atom_site_fract_z
Ti1 Ti 0.000 0.000 0.000
Tc1 Tc 0.250 0.250 0.250
Mo1 Mo 0.000 0.000 0.500

***

# meta-GGA SCAN RbCoC3, PBEsol geometry
# E	-11.471	eV per atom
data_RbCoC3
_chemical_formula_sum 'Rb1 Co1 C3'
_cell_length_a 3.934
_cell_length_b 3.934
_cell_length_c 3.934
_cell_angle_alpha 90.00
_cell_angle_beta 90.00
_cell_angle_gamma 90.00
_space_group_name_H-M_alt 'P m -3 m'
_space_group_IT_number 221
_space_group_name_Hall '-P 4 2 3'
loop_
_atom_site_label
_atom_site_type_symbol
_atom_site_fract_x
_atom_site_fract_y
_atom_site_fract_z
Rb1 Rb 0.000 0.000 0.000
Co1 Co 0.500 0.500 0.500
C1 C 0.000 0.500 0.500

***

# meta-GGA SCAN Ba3BeNb, PBEsol geometry
# E	-30.218	eV per atom
data_Ba3BeNb
_chemical_formula_sum 'Ba3 Be1 Nb1'
_cell_length_a 5.986
_cell_length_b 5.986
_cell_length_c 5.986
_cell_angle_alpha 90.00
_cell_angle_beta 90.00
_cell_angle_gamma 90.00
_space_group_name_H-M_alt 'P m -3 m'
_space_group_IT_number 221
_space_group_name_Hall '-P 4 2 3'
loop_
_atom_site_label
_atom_site_type_symbol
_atom_site_fract_x
_atom_site_fract_y
_atom_site_fract_z
Ba1 Ba 0.000 0.000 0.500
Be1 Be 0.000 0.000 0.000
Nb1 Nb 0.500 0.500 0.500

***

# meta-GGA SCAN Nb3CdF, PBEsol geometry
# E	-24.615	eV per atom
# E_form (uncorrected)	2054	meV per atom
data_Nb3CdF
_chemical_formula_sum 'Nb3 Cd1 F1'
_cell_length_a 5.003
_cell_length_b 5.003
_cell_length_c 5.003
_cell_angle_alpha 90.00
_cell_angle_beta 90.00
_cell_angle_gamma 90.00
_space_group_name_H-M_alt 'P m -3 m'
_space_group_IT_number 221
_space_group_name_Hall '-P 4 2 3'
loop_
_atom_site_label
_atom_site_type_symbol
_atom_site_fract_x
_atom_site_fract_y
_atom_site_fract_z
Nb1 Nb 0.000 0.000 0.500
Cd1 Cd 0.000 0.000 0.000
F1 F 0.500 0.500 0.500

***

# meta-GGA SCAN Ce2Si7, PBEsol geometry
# E	-17.972	eV per atom
# E_form (uncorrected)	-279	meV per atom
data_Ce2Si7
_chemical_formula_sum 'Ce4 Si14'
_cell_length_a 6.954
_cell_length_b 9.876
_cell_length_c 4.408
_cell_angle_alpha 90.00
_cell_angle_beta 90.00
_cell_angle_gamma 90.00
_space_group_name_H-M_alt 'C m m m'
_space_group_IT_number 65
_space_group_name_Hall '-C 2 2'
loop_
_atom_site_label
_atom_site_type_symbol
_atom_site_fract_x
_atom_site_fract_y
_atom_site_fract_z
Ce1 Ce 0.000 0.205 0.000
Si1 Si 0.000 0.000 0.500
Si2 Si 0.182 0.500 0.000
Si3 Si 0.188 0.367 0.500

***

# meta-GGA SCAN MgCo2Si, PBEsol geometry
# E	-12.641	eV per atom
# E_form (uncorrected)	-241	meV per atom
data_MgCo2Si
_chemical_formula_sum 'Mg4 Co8 Si4'
_cell_length_a 5.639
_cell_length_b 5.639
_cell_length_c 5.639
_cell_angle_alpha 90.00
_cell_angle_beta 90.00
_cell_angle_gamma 90.00
_space_group_name_H-M_alt 'F m -3 m'
_space_group_IT_number 225
_space_group_name_Hall '-F 4 2 3'
loop_
_atom_site_label
_atom_site_type_symbol
_atom_site_fract_x
_atom_site_fract_y
_atom_site_fract_z
Mg1 Mg 0.000 0.000 0.000
Co1 Co 0.250 0.250 0.250
Si1 Si 0.000 0.000 0.500

***

# meta-GGA SCAN LaTlRe, PBEsol geometry
# E	-61.258	eV per atom
data_LaTlRe
_chemical_formula_sum 'La4 Tl4 Re4'
_cell_length_a 6.799
_cell_length_b 6.799
_cell_length_c 6.799
_cell_angle_alpha 90.00
_cell_angle_beta 90.00
_cell_angle_gamma 90.00
_space_group_name_H-M_alt 'F -4 3 m'
_space_group_IT_number 216
_space_group_name_Hall 'F -4 2 3'
loop_
_atom_site_label
_atom_site_type_symbol
_atom_site_fract_x
_atom_site_fract_y
_atom_site_fract_z
La1 La 0.000 0.000 0.000
Tl1 Tl 0.250 0.250 0.250
Re1 Re 0.000 0.000 0.500

***

# meta-GGA SCAN PdPbBr3, PBEsol geometry
# E	-33.286	eV per atom
# E_form (uncorrected)	101	meV per atom
data_PdPbBr3
_chemical_formula_sum 'Pd1 Pb1 Br3'
_cell_length_a 5.642
_cell_length_b 5.642
_cell_length_c 5.642
_cell_angle_alpha 90.00
_cell_angle_beta 90.00
_cell_angle_gamma 90.00
_space_group_name_H-M_alt 'P m -3 m'
_space_group_IT_number 221
_space_group_name_Hall '-P 4 2 3'
loop_
_atom_site_label
_atom_site_type_symbol
_atom_site_fract_x
_atom_site_fract_y
_atom_site_fract_z
Pd1 Pd 0.000 0.000 0.000
Pb1 Pb 0.500 0.500 0.500
Br1 Br 0.000 0.500 0.500